[1]
Compound: SrHgSb2
Source: the Alexandria database
Functional: PBE-GGA
Structure: optimized geometry

abc: 4.8485 4.4628 5.6487
angles: 90.00 92.59 90.00
With the nearest neighbours (Å) after each atom.
Sites, in units of the cell vectors:
Sr 0.0000 0.0000 0.0000  4 Hg 3.30-3.37, 7 Sb 3.54-3.67
Hg 0.4850 0.5000 0.9070  4 Sr 3.30-3.37, 4 Sb 3.35-3.39
Sb 0.5379 0.0000 0.4679  2 Sb 3.02, 2 Hg 3.35
Sb 0.9594 0.5000 0.4905  2 Sb 3.02, 1 Hg 3.36

Calculated values
Its density of states at the Fermi level is 0.35 states/eV/atom. The crystal system is monoclinic. Its calculated volume is 122.1 Å³/cell. As for the formation energy from raw total energies: -0.45 eV/atom.


[2]
Compound: TbScTe2
Source: the Alexandria database
Functional: PBE-GGA
Structure: optimized geometry

abc: 9.6471 9.6471 9.6471
angles: 25.33 25.33 25.33
With the nearest neighbours (Å) after each atom.
Sites, in units of the cell vectors:
Tb 0.0000 0.0000 0.0000  6 Te 3.06
Sc 0.5000 0.5000 0.5000  2 Te 2.82
Te 0.3992 0.3992 0.3992  1 Sc 2.82, 3 Tb 3.06
Te 0.6008 0.6008 0.6008  1 Sc 2.82, 3 Tb 3.06

Calculated values
Its density of states at the Fermi level is 0.64 states/eV/atom. Its relative energy among the computed polymorphs is 0.477 eV per atom. The crystal system is trigonal. Its calculated volume is 144.7 Å³/cell. As for the formation energy from raw total energies: -0.76 eV/atom.